No. 1
! Ce2NpGe2Ru5 | Alexandria via LeMat-Bulk | PBE | optimized geometry; values from VASP
! theoretical density = 10.755 g cm⁻³
! SG = P4/mbm (127)
! M_tot = 6.5 μB/cell
! formation energy from the elements = -0.36 eV/atom
&SYSTEM
  ibrav = 0, nat = 20, ntyp = 4
/
ATOMIC_SPECIES
Ce 140.12 Ce.upf
Ru 101.07 Ru.upf
Ge 72.64 Ge.upf
Np 237.00 Np.upf
ATOMIC_POSITIONS crystal
Ce 0.000 0.830 0.670
Ce 0.000 0.330 0.830
Ru 0.500 0.000 0.500
Ru 0.500 0.931 0.206
Ge 0.000 0.126 0.626
Ge 0.000 0.874 0.374
Ce 0.000 0.170 0.330
Ge 0.000 0.374 0.126
Ru 0.500 0.569 0.706
Ge 0.000 0.626 0.874
Ru 0.500 0.500 0.000
Ru 0.500 0.706 0.431
Ru 0.500 0.294 0.569
Np 0.000 0.500 0.500
Ru 0.500 0.431 0.294
Ru 0.500 0.206 0.069
Np 0.000 0.000 0.000
Ru 0.500 0.069 0.794
Ru 0.500 0.794 0.931
Ce 0.000 0.670 0.170
CELL_PARAMETERS angstrom
3.575 0.000 0.000
0.000 10.044 0.000
0.000 0.000 10.044

No. 2
! CaYFe | Alexandria via LeMat-Bulk | PBE | optimized geometry; values from VASP
! theoretical density = 3.920 g cm⁻³
! SG = I4mm (107)
! M_tot = 1.5 μB/cell
! excess energy over the best structure of this formula in the dataset = 0.0 meV per atom
! formation energy from the elements = 0.26 eV/atom
&SYSTEM
  ibrav = 0, nat = 3, ntyp = 3
/
ATOMIC_SPECIES
Fe 55.84 Fe.upf
Y 88.91 Y.upf
Ca 40.08 Ca.upf
ATOMIC_POSITIONS crystal
Fe 0.323 0.323 0.000
Y 0.708 0.708 0.000
Ca 0.969 0.969 0.000
CELL_PARAMETERS angstrom
-4.692 4.991 0.629
-6.311 0.774 2.626
6.484 -2.232 0.542

No. 3
! CaRe2Te | Alexandria via LeMat-Bulk | PBE | optimized geometry; values from VASP
! DFT total energy = -6.5511 eV/atom
! theoretical density = 12.266 g cm⁻³
! SG = P4/mmm (123)
! M_tot = 0.0 μB/cell
&SYSTEM
  ibrav = 0, nat = 4, ntyp = 3
/
ATOMIC_SPECIES
Ca 40.08 Ca.upf
Re 186.21 Re.upf
Te 127.60 Te.upf
ATOMIC_POSITIONS crystal
Ca 0.000 0.500 0.500
Re 0.500 0.500 0.000
Re 0.000 0.000 0.000
Te 0.500 0.000 0.500
CELL_PARAMETERS angstrom
4.558 0.000 0.000
0.000 4.558 0.000
0.000 0.000 3.519

No. 4
! TaSnIO2 | Alexandria via LeMat-Bulk | PBE | optimized geometry; values from VASP
! theoretical density = 6.617 g cm⁻³
! SG = P4/mmm (123)
! M_tot = 3.2 μB/cell
! excess energy over the best structure of this formula in the dataset = 1193.2 meV per atom
&SYSTEM
  ibrav = 0, nat = 5, ntyp = 4
/
ATOMIC_SPECIES
Ta 180.95 Ta.upf
Sn 118.71 Sn.upf
I 126.90 I.upf
O 16.00 O.upf
ATOMIC_POSITIONS crystal
Ta 0.500 0.500 0.500
Sn 0.000 0.000 0.000
I 0.000 0.000 0.500
O 0.500 0.000 0.000
O 0.000 0.500 0.000
CELL_PARAMETERS angstrom
-0.555 -0.961 -3.873
-3.708 -1.319 0.859
-2.593 6.483 -1.237

No. 5
! FeIrW2Br | Alexandria via LeMat-Bulk | PBE | optimized geometry; values from VASP
! DFT total energy = -6.5439 eV/atom
! theoretical density = 12.306 g cm⁻³
! SG = P4/mmm (123)
! M_tot = 0.2 μB/cell
&SYSTEM
  ibrav = 0, nat = 5, ntyp = 4
/
ATOMIC_SPECIES
W 183.84 W.upf
Ir 192.22 Ir.upf
Fe 55.84 Fe.upf
Br 79.90 Br.upf
ATOMIC_POSITIONS crystal
W 0.000 0.000 0.500
W 0.500 0.000 0.000
Ir 0.000 0.500 0.000
Fe 0.500 0.500 0.500
Br 0.000 0.000 0.000
CELL_PARAMETERS angstrom
-3.967 -1.188 -1.898
-0.806 -2.815 3.447
-2.087 3.362 2.258

No. 6
! Li3Dy2HfSe6 | Alexandria via LeMat-Bulk | PBE | optimized geometry; values from VASP
! DFT total energy = -5.3534 eV/atom
! theoretical density = 6.258 g cm⁻³
! SG = C2/m (12)
! M_tot = 0.0 μB/cell
&SYSTEM
  ibrav = 0, nat = 12, ntyp = 4
/
ATOMIC_SPECIES
Se 78.96 Se.upf
Li 6.94 Li.upf
Dy 162.50 Dy.upf
Hf 178.49 Hf.upf
ATOMIC_POSITIONS crystal
Se 0.915 0.597 0.746
Se 0.085 0.403 0.254
Li 0.500 0.500 0.500
Dy 0.333 0.667 0.000
Li 0.834 0.166 0.500
Hf 0.000 0.000 0.000
Dy 0.667 0.333 0.000
Se 0.597 0.915 0.746
Li 0.166 0.834 0.500
Se 0.766 0.766 0.251
Se 0.234 0.234 0.749
Se 0.403 0.085 0.254
CELL_PARAMETERS angstrom
6.851 0.000 -0.001
-3.424 5.934 -0.001
-1.145 -1.982 6.515

No. 7
! NpFePt6 | Alexandria via LeMat-Bulk | PBE | optimized geometry; values from VASP
! theoretical density = 18.389 g cm⁻³
! SG = P4/mmm (123)
! M_tot = 1.5 μB/cell
! formation energy from the elements = -0.37 eV/atom
&SYSTEM
  ibrav = 0, nat = 8, ntyp = 3
/
ATOMIC_SPECIES
Pt 195.08 Pt.upf
Np 237.00 Np.upf
Fe 55.84 Fe.upf
ATOMIC_POSITIONS crystal
Pt 0.000 0.741 0.741
Pt 0.000 0.741 0.259
Pt 0.000 0.259 0.259
Np 0.500 0.000 0.000
Pt 0.500 0.500 0.000
Pt 0.000 0.259 0.741
Fe 0.500 0.500 0.500
Pt 0.500 0.000 0.500
CELL_PARAMETERS angstrom
4.000 0.000 0.000
0.000 5.747 -0.037
0.000 0.036 5.747

No. 8
! LuPu2 | Alexandria via LeMat-Bulk | PBE | optimized geometry; values from VASP
! theoretical density = 17.234 g cm⁻³
! SG = I4/mmm (139)
! M_tot = 0.0 μB/cell
! excess energy over the best structure of this formula in the dataset = 38.5 meV per atom
! formation energy from the elements = 0.27 eV/atom
&SYSTEM
  ibrav = 0, nat = 3, ntyp = 2
/
ATOMIC_SPECIES
Lu 174.97 Lu.upf
Pu 244.00 Pu.upf
ATOMIC_POSITIONS crystal
Lu 0.000 0.000 0.000
Pu 0.717 0.717 0.434
Pu 0.283 0.283 0.566
CELL_PARAMETERS angstrom
-0.257 -0.784 -3.222
-3.196 -0.805 0.450
0.189 6.229 0.187

No. 9
! TmSnHg | Alexandria via LeMat-Bulk | PBE | optimized geometry; values from VASP
! theoretical density = 10.754 g cm⁻³
! SG = P2_1/m (11)
! M_tot = 0.0 μB/cell
! formation energy from the elements = -0.45 eV/atom
&SYSTEM
  ibrav = 0, nat = 6, ntyp = 3
/
ATOMIC_SPECIES
Tm 168.93 Tm.upf
Sn 118.71 Sn.upf
Hg 200.59 Hg.upf
ATOMIC_POSITIONS crystal
Tm 0.250 0.096 0.809
Sn 0.750 0.574 0.855
Hg 0.750 0.262 0.477
Hg 0.250 0.738 0.523
Sn 0.250 0.426 0.145
Tm 0.750 0.904 0.191
CELL_PARAMETERS angstrom
4.225 0.000 0.000
0.000 4.545 0.690
0.000 1.113 8.022

No. 10
! TiPtRh | Alexandria via LeMat-Bulk | PBE | optimized geometry; values from VASP
! theoretical density = 12.573 g cm⁻³
! SG = I4mm (107)
! M_tot = 0.0 μB/cell
! excess energy over the best structure of this formula in the dataset = 133.1 meV per atom
! formation energy from the elements = -0.67 eV/atom
&SYSTEM
  ibrav = 0, nat = 3, ntyp = 3
/
ATOMIC_SPECIES
Ti 47.87 Ti.upf
Pt 195.08 Pt.upf
Rh 102.91 Rh.upf
ATOMIC_POSITIONS crystal
Ti 0.945 0.945 0.889
Pt 0.609 0.609 0.218
Rh 0.296 0.296 0.593
CELL_PARAMETERS angstrom
2.859 0.000 0.000
0.000 2.859 0.000
-1.429 -1.429 5.589

No. 11
! Tm4ScTl5 | Alexandria via LeMat-Bulk | PBE | optimized geometry; values from VASP
! theoretical density = 11.182 g cm⁻³
! SG = P4/mmm (123)
! M_tot = 0.0 μB/cell
! formation energy from the elements = -0.28 eV/atom
&SYSTEM
  ibrav = 0, nat = 10, ntyp = 3
/
ATOMIC_SPECIES
Tl 204.38 Tl.upf
Tm 168.93 Tm.upf
Sc 44.96 Sc.upf
ATOMIC_POSITIONS crystal
Tl 0.500 0.500 0.092
Tl 0.500 0.500 0.705
Tl 0.500 0.500 0.500
Tm 0.000 0.000 0.603
Tm 0.000 0.000 0.193
Tm 0.000 0.000 0.397
Tl 0.500 0.500 0.295
Tm 0.000 0.000 0.807
Tl 0.500 0.500 0.908
Sc 0.000 0.000 0.000
CELL_PARAMETERS angstrom
-1.540 -2.870 -1.663
0.217 -1.917 3.107
-17.514 6.399 5.172

No. 12
! RbGa2Sn | Alexandria via LeMat-Bulk | PBE | optimized geometry; values from VASP
! theoretical density = 4.925 g cm⁻³
! SG = P4/mmm (123)
! M_tot = 0.0 μB/cell
! formation energy from the elements = -0.03 eV/atom
&SYSTEM
  ibrav = 0, nat = 4, ntyp = 3
/
ATOMIC_SPECIES
Ga 69.72 Ga.upf
Sn 118.71 Sn.upf
Rb 85.47 Rb.upf
ATOMIC_POSITIONS crystal
Ga 0.000 0.000 0.817
Sn 0.500 0.500 0.000
Rb 0.500 0.500 0.500
Ga 0.000 0.000 0.183
CELL_PARAMETERS angstrom
-1.188 0.114 3.580
3.275 -1.492 1.134
3.126 7.468 0.799

No. 13
! CaSe3I | Alexandria via LeMat-Bulk | PBE | optimized geometry; values from VASP
! theoretical density = 4.009 g cm⁻³
! SG = Pm-3m (221)
! M_tot = 0.0 μB/cell
! excess energy over the best structure of this formula in the dataset = 205.0 meV per atom
&SYSTEM
  ibrav = 0, nat = 5, ntyp = 3
/
ATOMIC_SPECIES
Se 78.96 Se.upf
I 126.90 I.upf
Ca 40.08 Ca.upf
ATOMIC_POSITIONS crystal
Se 0.500 0.000 0.000
I 0.500 0.500 0.500
Se 0.000 0.500 0.000
Se 0.000 0.000 0.500
Ca 0.000 0.000 0.000
CELL_PARAMETERS angstrom
5.510 0.000 0.000
0.000 5.510 0.000
0.000 0.000 5.510

No. 14
! RbLiLaFe | Alexandria via LeMat-Bulk | PBE | optimized geometry; values from VASP
! theoretical density = 3.216 g cm⁻³
! SG = Pm (6)
! M_tot = 0.7 μB/cell
! excess energy over the best structure of this formula in the dataset = 112.2 meV per atom
! formation energy from the elements = 0.56 eV/atom
&SYSTEM
  ibrav = 0, nat = 4, ntyp = 4
/
ATOMIC_SPECIES
La 138.91 La.upf
Fe 55.84 Fe.upf
Rb 85.47 Rb.upf
Li 6.94 Li.upf
ATOMIC_POSITIONS crystal
La 0.400 0.500 0.608
Fe 0.063 0.500 0.774
Rb 0.677 0.000 0.121
Li 0.960 0.000 0.684
CELL_PARAMETERS angstrom
-2.609 -3.364 -1.442
2.226 -3.106 3.217
-3.286 3.090 5.257

No. 15
! Nd6SiSb2Se3 | Alexandria via LeMat-Bulk | PBE | optimized geometry; values from VASP
! DFT total energy = -5.8497 eV/atom
! theoretical density = 6.513 g cm⁻³
! SG = C2/m (12)
! M_tot = 0.0 μB/cell
&SYSTEM
  ibrav = 0, nat = 12, ntyp = 4
/
ATOMIC_SPECIES
Sb 121.76 Sb.upf
Se 78.96 Se.upf
Nd 144.24 Nd.upf
Si 28.09 Si.upf
ATOMIC_POSITIONS crystal
Sb 0.167 0.334 0.334
Sb 0.833 0.666 0.666
Se 0.500 0.500 0.000
Nd 0.663 0.589 0.326
Nd 0.337 0.411 0.674
Nd 0.002 0.764 0.004
Nd 0.660 0.073 0.320
Nd 0.340 0.927 0.680
Si 0.500 0.000 0.000
Se 0.168 0.834 0.337
Se 0.832 0.166 0.663
Nd 0.998 0.236 0.996
CELL_PARAMETERS angstrom
4.351 0.000 0.000
0.000 8.702 0.350
-2.176 -2.468 9.151

No. 16
! AgHg2I4 | Alexandria via LeMat-Bulk | PBE | optimized geometry; values from VASP
! theoretical density = 5.593 g cm⁻³
! SG = P-42m (111)
! M_tot = 0.0 μB/cell
! excess energy over the best structure of this formula in the dataset = 0.0 meV per atom
&SYSTEM
  ibrav = 0, nat = 7, ntyp = 3
/
ATOMIC_SPECIES
Hg 200.59 Hg.upf
Ag 107.87 Ag.upf
I 126.90 I.upf
ATOMIC_POSITIONS crystal
Hg 0.000 0.500 0.500
Ag 0.000 0.000 0.000
I 0.750 0.750 0.231
Hg 0.500 0.000 0.500
I 0.250 0.750 0.769
I 0.750 0.250 0.769
I 0.250 0.250 0.231
CELL_PARAMETERS angstrom
7.097 0.000 0.000
0.000 7.097 0.000
0.000 0.000 5.993

No. 17
! InReTe2 | Alexandria via LeMat-Bulk | PBE | optimized geometry; values from VASP
! DFT total energy = -4.7828 eV/atom
! theoretical density = 9.503 g cm⁻³
! SG = Cmmm (65)
! M_tot = 0.0 μB/cell
&SYSTEM
  ibrav = 0, nat = 4, ntyp = 3
/
ATOMIC_SPECIES
In 114.82 In.upf
Te 127.60 Te.upf
Re 186.21 Re.upf
ATOMIC_POSITIONS crystal
In 0.500 0.500 0.250
Te 0.000 0.000 0.953
Te 0.000 0.000 0.547
Re 0.500 0.500 0.750
CELL_PARAMETERS angstrom
3.191 0.010 0.000
-1.442 2.847 0.000
0.000 0.000 10.680

No. 18
! La2BeAs | Alexandria via LeMat-Bulk | PBE | optimized geometry; values from VASP
! theoretical density = 5.207 g cm⁻³
! SG = I-42d (122)
! M_tot = 0.0 μB/cell
! excess energy over the best structure of this formula in the dataset = 418.3 meV per atom
! formation energy from the elements = -0.23 eV/atom
&SYSTEM
  ibrav = 0, nat = 8, ntyp = 3
/
ATOMIC_SPECIES
Be 9.01 Be.upf
La 138.91 La.upf
As 74.92 As.upf
ATOMIC_POSITIONS crystal
Be 0.500 0.500 0.000
La 0.375 0.382 0.750
As 0.750 0.250 0.500
La 0.875 0.868 0.750
As 0.000 0.000 0.000
La 0.132 0.625 0.250
La 0.618 0.125 0.250
Be 0.250 0.750 0.500
CELL_PARAMETERS angstrom
7.803 0.000 0.000
0.000 7.803 0.000
3.901 3.901 3.790

No. 19
! Cs2Li3Bi2 | Alexandria via LeMat-Bulk | PBE | optimized geometry; values from VASP
! theoretical density = 4.425 g cm⁻³
! SG = C2/m (12)
! M_tot = 0.0 μB/cell
! formation energy from the elements = -0.38 eV/atom
&SYSTEM
  ibrav = 0, nat = 7, ntyp = 3
/
ATOMIC_SPECIES
Cs 132.91 Cs.upf
Bi 208.98 Bi.upf
Li 6.94 Li.upf
ATOMIC_POSITIONS crystal
Cs 0.142 0.284 0.761
Bi 0.876 0.752 0.775
Li 0.677 0.353 0.407
Cs 0.858 0.716 0.239
Li 0.323 0.647 0.593
Li 0.500 0.000 0.000
Bi 0.124 0.248 0.225
CELL_PARAMETERS angstrom
-1.838 -3.937 -2.372
3.298 -2.400 6.593
-7.704 3.389 0.345

No. 20
! CaTiSN2 | Alexandria via LeMat-Bulk | PBE | optimized geometry; values from VASP
! theoretical density = 2.530 g cm⁻³
! SG = P4/mmm (123)
! M_tot = 2.0 μB/cell
! excess energy over the best structure of this formula in the dataset = 1819.5 meV per atom
&SYSTEM
  ibrav = 0, nat = 5, ntyp = 4
/
ATOMIC_SPECIES
N 14.01 N.upf
Ca 40.08 Ca.upf
S 32.06 S.upf
Ti 47.87 Ti.upf
ATOMIC_POSITIONS crystal
N 0.500 0.000 0.000
Ca 0.000 0.000 0.000
S 0.000 0.000 0.500
Ti 0.500 0.500 0.500
N 0.000 0.500 0.000
CELL_PARAMETERS angstrom
-3.931 -0.417 -1.689
-1.164 -2.472 3.319
-1.582 4.271 2.626